The following is a GGA-PBE calculation of an optimized crystal structure of HfTlIO2, from Alexandria via LeMat-Bulk.

The structure in POSCAR format:
```
HfTlIO2
1.0
4.319 0.000 0.000
0.000 4.319 0.000
0.000 0.000 5.877
I O Hf Tl
1 2 1 1
direct
0.000 0.000 0.500
0.000 0.500 0.000
0.500 0.000 0.000
0.500 0.500 0.500
0.000 0.000 0.000
```

Computed properties:
Total DFT energy (no corrections) = -4.31 eV/atom
Total magnetic moment = 1.1 μB per formula unit
ΔE_f (raw) = 0.4433 eV/atom